Crystalline Ta2Pd2Pb3 at its relaxed geometry, computed with PBE.

The structure belongs to space group R3m (No. 160, hexagonal axes); the cell edges are 4.6909, 4.6909 and 24.4346 Å and the angles 90.00°, 90.00° and 120.00°. The asymmetric unit holds Ta at (0.0000, 0.0000, 0.0000), Ta at (0.0000, 0.0000, 0.4981), Pd at (0.0000, 0.0000, 0.2478), Pd at (0.0000, 0.0000, 0.7472), Pb at (0.0000, 0.0000, 0.1239), Pb at (0.0000, 0.0000, 0.3631) and Pb at (0.0000, 0.0000, 0.8863).

The calculation puts the energy at -5.81 eV/atom.


Crystalline Ta2PdPb at its relaxed geometry, computed with PBE.

The structure belongs to space group F-43m (No. 216); the cell edges are 6.7327, 6.7327 and 6.7327 Å and the angles 90.00°, 90.00° and 90.00°. The asymmetric unit holds Ta at (0.0000, 0.0000, 0.0000), Ta at (0.2500, 0.2500, 0.2500), Pd at (0.2500, 0.2500, 0.7500) and Pb at (0.0000, 0.0000, 0.5000).

The calculation puts the energy at -7.74 eV/atom.


Crystalline TbPd2Pb at its relaxed geometry, computed with PBE.

The structure belongs to space group Pmn2_1 (No. 31); the cell edges are 4.4983, 6.2374 and 6.0513 Å and the angles 90.00°, 90.00° and 90.00°. The asymmetric unit holds Tb at (0.0000, 0.0814, 0.0000), Pd at (0.0000, 0.2170, 0.4839), Pd at (0.0000, 0.6998, 0.2787) and Pb at (0.0000, 0.5957, 0.7547).

The calculation puts the energy at -5.33 eV/atom.


Crystalline TbPd2Pb at its relaxed geometry, computed with PBE.

The structure belongs to space group Pmc2_1 (No. 26); the cell edges are 4.1972, 5.9697 and 6.8949 Å and the angles 90.00°, 90.00° and 90.00°. The asymmetric unit holds Tb at (0.0000, 0.1346, 0.0000), Pd at (0.0000, 0.3999, 0.3603), Pd at (0.5000, 0.0915, 0.2861) and Pb at (0.5000, 0.3635, 0.6472).

The calculation puts the energy at -5.28 eV/atom.


Crystalline TbPdPb at its relaxed geometry, computed with PBE.

The structure belongs to space group Pnma (No. 62); the cell edges are 7.2610, 4.7760 and 8.0950 Å and the angles 90.00°, 90.00° and 90.00°. The asymmetric unit holds Tb at (0.0089, 0.2500, 0.2106), Pd at (0.2127, 0.7500, 0.4212) and Pb at (0.1979, 0.2500, 0.5891).

The calculation puts the energy at -5.19 eV/atom.


Crystalline TbPd2Pb at its relaxed geometry, computed with PBE.

The structure belongs to space group P4/mmm (No. 123); the cell edges are 4.7144, 4.7144 and 3.7600 Å and the angles 90.00°, 90.00° and 90.00°. The asymmetric unit holds Tb at (0.0000, 0.0000, 0.0000), Pd at (0.0000, 0.5000, 0.5000) and Pb at (0.5000, 0.5000, 0.0000).

The calculation puts the energy at -5.28 eV/atom.


Crystalline TbPdPb at its relaxed geometry, computed with PBE.

The structure belongs to space group P6_3/mmc (No. 194); the cell edges are 5.1543, 5.1543 and 6.1461 Å and the angles 90.00°, 90.00° and 120.00°. The asymmetric unit holds Tb at (0.3333, 0.6667, 0.2500), Pd at (0.0000, 0.0000, 0.0000) and Pb at (0.3333, 0.6667, 0.7500).

The calculation puts the energy at -4.88 eV/atom.


Crystalline Tb2PdPb at its relaxed geometry, computed with PBE.

The structure belongs to space group Amm2 (No. 38); the cell edges are 4.5446, 4.0034 and 11.4021 Å and the angles 90.00°, 90.00° and 90.00°. The asymmetric unit holds Tb at (0.0000, 0.0000, 0.0000), Tb at (0.5000, 0.0000, 0.2897), Pd at (0.0000, 0.0000, 0.7397) and Pb at (0.5000, 0.0000, 0.5685).

The calculation puts the energy at -5.17 eV/atom.


- Which of these has the highest energy?
  number 7